Fe2Ir4Rh | PBE | relaxed

total DFT energy (no corrections)	-8.19	eV/atom
density	15061	kg/m³
space-group type	I4/mcm (140)

Unit cell a=6.569 b=6.569 c=6.569 alpha=112.19 beta=112.19 gamma=104.16
Atoms (fractional coordinates):
Fe 0.148 0.648 0.796
Fe 0.352 0.148 0.500
Fe 0.648 0.852 0.500
Fe 0.852 0.352 0.204
Ir 0.012 0.810 0.500
Ir 0.190 0.690 0.202
Ir 0.310 0.512 0.500
Ir 0.488 0.988 0.798
Ir 0.512 0.012 0.202
Ir 0.690 0.488 0.500
Ir 0.810 0.310 0.798
Ir 0.988 0.190 0.500
Rh 0.250 0.250 0.000
Rh 0.750 0.750 0.000